Record 1
A plane-wave DFT calculation with SCAN was carried out for a PBEsol-optimized structure of SrP2Se.

abc: 4.078 4.078 6.007
angles: 109.77 109.77 90.21
Element x y z (fractional)
P1 0.500 0.000 0.500
P2 0.000 0.500 0.500
Se1 0.000 0.000 0.000
Sr1 0.500 0.500 0.000

Calculated values
space-group type: Fmmm (69)
raw formation energy: -0.30 eV/atom
total moment: 0.00 μB per cell
N(E_F): 1.8 states/eV/f.u.

***

Record 2
A plane-wave DFT calculation with SCAN was carried out for a PBEsol-optimized structure of Al2Cr.

abc: 4.343 4.343 5.303
angles: 90.00 90.00 120.00
Last column: magnetic moment on the atom in μB.
Element x y z (fractional)
Cr1 0.333 0.667 0.750  3.34
Cr2 0.667 0.333 0.250  3.34
Al1 0.000 0.000 0.000  -0.03
Al2 0.000 0.000 0.500  -0.03
Al3 0.667 0.333 0.750  -0.05
Al4 0.333 0.667 0.250  -0.05

Calculated values
space-group type: P6_3/mmc (194)
total moment: 6.88 μB per cell
N(E_F): 1.0 states/eV/f.u.
energy relative to the elements: -29 kJ/mol of formula units

***

no.,E_tot (eV per cell)
1,-64.34
2,-68.39